This record from Alexandria describes a relaxed TaFeOsRh crystal. The functional is PBE.

The structure in POSCAR format:
```
TaFeOsRh
1.0
0.0000 3.1025 3.1025
3.1025 0.0000 3.1025
3.1025 3.1025 0.0000
Ta Fe Os Rh
1 1 1 1
direct
0.0000 0.0000 0.0000
0.5000 0.5000 0.5000
0.7500 0.7500 0.7500
0.2500 0.2500 0.2500
```

Properties
SG: F-43m (216)
Formation enthalpy at 0 K: -0.161 eV per atom